Computed, not measured: a geometry-optimized Sc3CoF structure at the GGA+U level of DFT.

As for the mass density: 4.25 g/cm³. Its energy relative to the lowest polymorph listed for this composition is 0.0 kJ per mole of atoms. Its final energy is -28.43 eV per cell. As for the density of states at the Fermi level: 10.17 states/eV per cell. For the calculated volume, the calculation gives 83 Å³/cell. The crystal system is cubic.

The structure belongs to space group Pm-3m (No. 221); the cell edges are 4.366, 4.366 and 4.366 Å and the angles 90.00°, 90.00° and 90.00°. The distinct sites, in fractional coordinates, are Sc at (0.000, 0.000, 0.500), Co at (0.500, 0.500, 0.500) and F at (0.000, 0.000, 0.000).